(1)
First-principles (PBE) data for Fe8Mo3Ru after structural relaxation, as listed in Alexandria via LeMat-Bulk.

For the formation energy, the calculation gives 0.00 eV per atom. The value obtained for the total energy is -9.12 eV/atom. Its space group is P3m1, No. 156.

Cell lengths 4.6656, 4.6656, 7.7023 Å; angles 90.00, 90.00, 120.00 degrees
With the nearest neighbours (Å) after each atom.
Element x y z (fractional)
Fe 0.0000 0.0000 0.0000  6 Fe 2.36-2.38
Fe 0.0000 0.0000 0.4984  6 Fe 2.36
Fe 0.1693 0.3387 0.7477  6 Fe 2.30-2.38
Fe 0.1693 0.8307 0.7477  6 Fe 2.30-2.38
Fe 0.3398 0.1699 0.2485  6 Fe 2.29-2.38
Fe 0.6613 0.8307 0.7477  6 Fe 2.30-2.38
Fe 0.8301 0.1699 0.2485  6 Fe 2.29-2.38
Fe 0.8301 0.6602 0.2485  6 Fe 2.29-2.38
Mo 0.3333 0.6667 0.0657  12 Fe 2.73-2.78, 4 Mo 2.86-2.90
Mo 0.3333 0.6667 0.4370  12 Fe 2.73-2.75, 3 Ru 2.86, 1 Mo 2.86
Mo 0.6667 0.3333 0.9252  12 Fe 2.70-2.82, 1 Ru 2.80, 3 Mo 2.90
Ru 0.6667 0.3333 0.5613  12 Fe 2.74-2.75, 4 Mo 2.80-2.86

=====

(2)
First-principles (PBE) data for Fe2MoRu after structural relaxation, as listed in Alexandria via LeMat-Bulk.

For the formation energy, the calculation gives 0.16 eV per atom. The value obtained for the total energy is -9.10 eV/atom. Its space group is Cm, No. 8.

Cell lengths 4.5434, 4.5434, 4.5726 Å; angles 99.16, 99.16, 33.92 degrees
With the nearest neighbours (Å) after each atom.
Element x y z (fractional)
Fe 0.0000 0.0000 0.0000  3 Ru 2.56-2.62, 5 Fe 2.58-2.65, 4 Mo 2.61-2.68
Fe 0.7436 0.7436 0.2377  4 Ru 2.52-2.77, 5 Fe 2.58-2.65, 3 Mo 2.59-2.67
Mo 0.4982 0.4982 0.4904  7 Fe 2.59-2.68, 3 Ru 2.64-2.74, 2 Mo 2.65
Ru 0.2574 0.2574 0.7733  7 Fe 2.52-2.77, 3 Mo 2.64-2.74, 2 Ru 2.65

=====

(3)
First-principles (PBE) data for Fe2MoRu after structural relaxation, as listed in Alexandria via LeMat-Bulk.

For the formation energy, the calculation gives 0.16 eV per atom. The value obtained for the total energy is -9.09 eV/atom. Its space group is P2/m, No. 10.

Cell lengths 2.6284, 4.2204, 5.0040 Å; angles 90.00, 101.76, 90.00 degrees
With the nearest neighbours (Å) after each atom.
Element x y z (fractional)
Fe 0.2468 0.0000 0.2486  4 Fe 2.56-2.63, 2 Ru 2.60, 2 Mo 2.61
Fe 0.7532 0.0000 0.7514  4 Fe 2.56-2.63, 2 Ru 2.60, 2 Mo 2.61
Mo 0.0000 0.5000 0.5000  2 Ru 2.58, 4 Fe 2.61, 2 Mo 2.63
Ru 0.5000 0.5000 0.0000  2 Mo 2.58, 4 Fe 2.60, 2 Ru 2.63

=====

(4)
First-principles (PBE) data for Fe2MoRu after structural relaxation, as listed in Alexandria via LeMat-Bulk.

For the formation energy, the calculation gives 0.11 eV per atom. The value obtained for the total energy is -9.15 eV/atom. Its space group is I-4m2, No. 119.

Cell lengths 4.6006, 4.6006, 4.6006 Å; angles 131.98, 131.98, 70.26 degrees
With the nearest neighbours (Å) after each atom.
Element x y z (fractional)
Fe 0.0000 0.0000 0.0000  4 Ru 2.65, 4 Fe 2.65, 4 Mo 2.65
Fe 0.7500 0.2500 0.5000  4 Mo 2.65, 4 Fe 2.65, 4 Ru 2.65
Mo 0.2500 0.7500 0.5000  8 Fe 2.65, 4 Ru 2.65
Ru 0.5000 0.5000 0.0000  8 Fe 2.65, 4 Mo 2.65

=====

(5)
First-principles (PBE) data for FeMo2Ru after structural relaxation, as listed in Alexandria via LeMat-Bulk.

For the formation energy, the calculation gives 0.13 eV per atom. The relative energy among the computed polymorphs is 26 meV/atom. The value obtained for the total energy is -9.72 eV/atom. Its space group is Cmmm, No. 65.

Cell lengths 4.6838, 4.6838, 2.7497 Å; angles 90.00, 90.00, 109.10 degrees
With the nearest neighbours (Å) after each atom.
Element x y z (fractional)
Fe 0.0000 0.0000 0.0000  8 Mo 2.72, 2 Ru 2.72, 2 Fe 2.75
Mo 0.0000 0.5000 0.5000  4 Ru 2.72, 4 Fe 2.72, 4 Mo 2.72-2.75
Mo 0.5000 0.0000 0.5000  4 Ru 2.72, 4 Fe 2.72, 4 Mo 2.72-2.75
Ru 0.5000 0.5000 0.0000  8 Mo 2.72, 2 Fe 2.72, 2 Ru 2.75

=====

(6)
First-principles (PBE) data for Fe2MoRu2 after structural relaxation, as listed in Alexandria via LeMat-Bulk.

For the formation energy, the calculation gives 0.17 eV per atom. The relative energy among the computed polymorphs is 0 meV/atom. The value obtained for the total energy is -9.10 eV/atom. Its space group is P4/mbm, No. 127.

Cell lengths 6.9745, 6.9745, 2.6925 Å; angles 90.00, 90.00, 90.00 degrees
With the nearest neighbours (Å) after each atom.
Element x y z (fractional)
Fe 0.1202 0.3798 0.0000  1 Fe 2.37, 6 Ru 2.43-2.48
Fe 0.3798 0.8798 0.0000  1 Fe 2.37, 6 Ru 2.43-2.48
Fe 0.6202 0.1202 0.0000  1 Fe 2.37, 6 Ru 2.43-2.48
Fe 0.8798 0.6202 0.0000  1 Fe 2.37, 6 Ru 2.43-2.48
Mo 0.0000 0.0000 0.0000  2 Mo 2.69, 4 Fe 2.78, 8 Ru 2.91
Mo 0.5000 0.5000 0.0000  2 Mo 2.69, 4 Fe 2.78, 8 Ru 2.91
Ru 0.1743 0.6743 0.5000  6 Fe 2.43-2.48, 2 Ru 2.69
Ru 0.3257 0.1743 0.5000  6 Fe 2.43-2.48, 2 Ru 2.69
Ru 0.6743 0.8257 0.5000  6 Fe 2.43-2.48, 2 Ru 2.69
Ru 0.8257 0.3257 0.5000  6 Fe 2.43-2.48, 2 Ru 2.69

=====

(7)
First-principles (PBE) data for FeMo2Ru after structural relaxation, as listed in Alexandria via LeMat-Bulk.

For the formation energy, the calculation gives 0.15 eV per atom. The relative energy among the computed polymorphs is 53 meV/atom. The value obtained for the total energy is -9.70 eV/atom. Its space group is Cm, No. 8.

Cell lengths 4.6960, 4.6960, 4.7037 Å; angles 99.50, 99.50, 34.05 degrees
With the nearest neighbours (Å) after each atom.
Element x y z (fractional)
Fe 0.0000 0.0000 0.0000  7 Mo 2.63-2.74, 3 Ru 2.66-2.88, 2 Fe 2.75
Mo 0.5115 0.5115 0.5069  3 Ru 2.61-2.70, 4 Fe 2.71-2.74, 5 Mo 2.73-2.91
Mo 0.7450 0.7450 0.2043  3 Fe 2.63, 4 Ru 2.66-2.80, 5 Mo 2.73-2.91
Ru 0.2643 0.2643 0.7277  7 Mo 2.61-2.80, 3 Fe 2.66-2.88, 2 Ru 2.75

=====

(8)
First-principles (PBE) data for FeMo2Ru after structural relaxation, as listed in Alexandria via LeMat-Bulk.

For the formation energy, the calculation gives 0.15 eV per atom. The relative energy among the computed polymorphs is 45 meV/atom. The value obtained for the total energy is -9.70 eV/atom. Its space group is P2/m, No. 10.

Cell lengths 2.7100, 4.1989, 5.2729 Å; angles 90.00, 104.79, 90.00 degrees
With the nearest neighbours (Å) after each atom.
Element x y z (fractional)
Fe 0.0000 0.0000 0.0000  4 Mo 2.62, 2 Ru 2.64, 2 Fe 2.71
Mo 0.4734 0.5000 0.2457  2 Fe 2.62, 4 Mo 2.63-2.71, 2 Ru 2.70
Mo 0.5266 0.5000 0.7543  2 Fe 2.62, 4 Mo 2.63-2.71, 2 Ru 2.70
Ru 0.0000 0.0000 0.5000  2 Fe 2.64, 4 Mo 2.70, 2 Ru 2.71

=====

(9)
First-principles (PBE) data for FeMoRu after structural relaxation, as listed in Alexandria via LeMat-Bulk.

For the formation energy, the calculation gives 0.60 eV per atom. The relative energy among the computed polymorphs is 484 meV/atom. The value obtained for the total energy is -8.92 eV/atom. Its space group is F-43m, No. 216.

Cell lengths 4.0276, 4.0276, 4.0276 Å; angles 60.00, 60.00, 60.00 degrees
With the nearest neighbours (Å) after each atom.
Element x y z (fractional)
Fe 0.0000 0.0000 0.0000  4 Ru 2.47, 4 Mo 2.47
Mo 0.2500 0.2500 0.2500  4 Fe 2.47
Ru 0.7500 0.7500 0.7500  4 Fe 2.47

=====

(10)
First-principles (PBE) data for Fe2MoRu after structural relaxation, as listed in Alexandria via LeMat-Bulk.

For the formation energy, the calculation gives 0.09 eV per atom. The value obtained for the total energy is -9.17 eV/atom. Its space group is Imm2, No. 44.

Cell lengths 4.9313, 4.9313, 4.9313 Å; angles 144.00, 129.79, 63.32 degrees
With the nearest neighbours (Å) after each atom.
Element x y z (fractional)
Fe 0.0000 0.0000 0.0000  2 Fe 2.49, 4 Ru 2.59, 2 Mo 2.60
Fe 0.7651 0.2651 0.5000  2 Fe 2.49, 4 Mo 2.59, 2 Ru 2.63
Mo 0.2510 0.7510 0.5000  6 Fe 2.59-2.60, 2 Ru 2.65
Ru 0.5097 0.5097 0.0000  6 Fe 2.59-2.63, 2 Mo 2.65

=====

(11)
First-principles (PBE) data for FeMo2Ru after structural relaxation, as listed in Alexandria via LeMat-Bulk.

For the formation energy, the calculation gives 0.68 eV per atom. The relative energy among the computed polymorphs is 583 meV/atom. The value obtained for the total energy is -9.17 eV/atom. Its space group is I-42d, No. 122.

Cell lengths 5.4957, 5.4957, 5.4957 Å; angles 102.92, 102.92, 123.56 degrees
With the nearest neighbours (Å) after each atom.
Element x y z (fractional)
Fe 0.0000 0.0000 0.0000  4 Mo 2.45, 2 Ru 2.60
Fe 0.7500 0.2500 0.5000  4 Mo 2.45, 2 Ru 2.60
Mo 0.1120 0.6250 0.9870  2 Fe 2.45, 2 Ru 2.57, 2 Mo 2.60
Mo 0.3750 0.3620 0.4870  2 Fe 2.45, 2 Ru 2.57, 2 Mo 2.60
Mo 0.6380 0.1250 0.0130  2 Fe 2.45, 2 Ru 2.57, 2 Mo 2.60
Mo 0.8750 0.8880 0.5130  2 Fe 2.45, 2 Ru 2.57, 2 Mo 2.60
Ru 0.2500 0.7500 0.5000  4 Mo 2.57, 2 Fe 2.60
Ru 0.5000 0.5000 0.0000  4 Mo 2.57, 2 Fe 2.60

=====

(12)
First-principles (PBE) data for Fe2MoRu after structural relaxation, as listed in Alexandria via LeMat-Bulk.

For the formation energy, the calculation gives 0.20 eV per atom. The value obtained for the total energy is -9.06 eV/atom. Its space group is R3m, No. 160.

Cell lengths 8.5942, 8.5942, 8.5942 Å; angles 18.27, 18.27, 18.27 degrees
With the nearest neighbours (Å) after each atom.
Element x y z (fractional)
Fe 0.0000 0.0000 0.0000  9 Fe 2.45-2.73, 3 Mo 2.72
Fe 0.2593 0.2593 0.2593  9 Fe 2.45-2.73, 3 Ru 2.66
Mo 0.7541 0.7541 0.7541  3 Ru 2.71, 3 Fe 2.72, 6 Mo 2.73
Ru 0.5079 0.5079 0.5079  3 Fe 2.66, 3 Mo 2.71, 6 Ru 2.73